Record 1
The following is a DFT calculation (PBE) of crystalline SmGdCuAg at its relaxed geometry.

Computed properties:
Total DFT energy (no corrections) (eV per formula unit): -26.640

Cell lengths 5.121, 5.121, 5.121 Å; angles 60.00, 60.00, 60.00 degrees
Fractional coordinates of all 4 atoms:
Sm  0.000  0.000  0.000
Gd  0.500  0.500  0.500
Cu  0.250  0.250  0.250
Ag  0.750  0.750  0.750

***

Record 2
The following is a DFT calculation (PBE) of crystalline GdCuAgSn at its relaxed geometry.

Computed properties:
Total DFT energy (no corrections) (eV per formula unit): -26.372

Cell lengths 4.885, 4.885, 4.885 Å; angles 60.00, 60.00, 60.00 degrees
Fractional coordinates of all 4 atoms:
Gd  0.000  0.000  0.000
Cu  0.750  0.750  0.750
Ag  0.250  0.250  0.250
Sn  0.500  0.500  0.500

***

Record 3
The following is a DFT calculation (PBE) of crystalline GdThCuAg at its relaxed geometry.

Computed properties:
Total DFT energy (no corrections) (eV per formula unit): -28.875

Cell lengths 5.152, 5.152, 5.152 Å; angles 60.00, 60.00, 60.00 degrees
Fractional coordinates of all 4 atoms:
Gd  0.000  0.000  0.000
Th  0.500  0.500  0.500
Cu  0.250  0.250  0.250
Ag  0.750  0.750  0.750

***

Number 1: volume 23.7 A^3/atom, energy relative to the elements -21.5 kJ per mole of atoms. Number 2: volume 20.6 A^3/atom, energy relative to the elements -32.3 kJ per mole of atoms. Number 3: volume 24.2 A^3/atom, energy relative to the elements -10.3 kJ per mole of atoms.